Entry 1:
Mn2TlIr: optimized geometry, PBE-GGA.

Lattice parameters (Å, degrees): 4.175 4.175 3.778 90.00 90.00 90.00
Space group P4/mmm (No. 123)
Inequivalent atoms, fractional coordinates:
Mn 0.000 0.500 0.000
Tl 0.000 0.000 0.500
Ir 0.500 0.500 0.500

Calculated values
Its total magnetic moment is 8.10 μB/f.u. Its distance to the lowest polymorph of the same formula is 0.0601 eV per atom. The calculation puts the calculated formation energy at 0.29 eV/atom. The crystal system is tetragonal.



Entry 2:
Ac2TbAl: optimized geometry, PBE-GGA.

Lattice parameters (Å, degrees): 8.150 8.150 8.150 90.00 90.00 90.00
Space group Fm-3m (No. 225)
Inequivalent atoms, fractional coordinates:
Ac 0.250 0.250 0.250
Tb 0.000 0.000 0.000
Al 0.000 0.000 0.500

Calculated values
Its total magnetic moment is 0.00 μB/f.u. Its distance to the lowest polymorph of the same formula is 0.0825 eV per atom. The calculation puts the calculated formation energy at 0.03 eV/atom. The crystal system is cubic.



Entry 3:
LaVCd2Sb: optimized geometry, PBE-GGA.

Lattice parameters (Å, degrees): 5.891 5.891 4.743 90.00 90.00 90.00
Space group P4/mmm (No. 123)
Inequivalent atoms, fractional coordinates:
La 0.000 0.000 0.000
V 0.000 0.000 0.500
Cd 0.000 0.500 0.000
Sb 0.500 0.500 0.500

Calculated values
Its total magnetic moment is 0.03 μB/f.u. The crystal system is tetragonal. The value obtained for the uncorrected formation energy is 125 kJ/mol of atoms.



Entry 4:
B2Os2Rh: optimized geometry, PBE-GGA.

Lattice parameters (Å, degrees): 6.306 6.306 2.769 90.00 90.00 90.00
Space group P4/mbm (No. 127)
Inequivalent atoms, fractional coordinates:
B 0.146 0.354 0.000
Os 0.151 0.651 0.500
Rh 0.000 0.000 0.000

Calculated values
Its total magnetic moment is 0.00 μB/f.u. The calculation puts the calculated formation energy at 0.17 eV/atom. The crystal system is tetragonal.



Entry 5:
YFeTe2N: optimized geometry, PBE-GGA.

Lattice parameters (Å, degrees): 5.984 5.984 4.069 90.00 90.00 90.00
Space group P4/mmm (No. 123)
Inequivalent atoms, fractional coordinates:
Y 0.000 0.000 0.000
Fe 0.500 0.500 0.500
Te 0.000 0.500 0.000
N 0.000 0.000 0.500

Calculated values
Its total magnetic moment is 4.04 μB/f.u. Its distance to the lowest polymorph of the same formula is 1.0125 eV per atom. The crystal system is tetragonal. The value obtained for the uncorrected formation energy is 70 kJ/mol of atoms.



Entry 6:
Nd2Cd3Hg5: optimized geometry, PBE-GGA.

Lattice parameters (Å, degrees): 12.665 12.793 6.377 90.00 90.00 90.00
Space group Ibam (No. 72)
Inequivalent atoms, fractional coordinates:
Nd 0.240 0.126 0.000
Cd 0.000 0.500 0.250
Cd 0.134 0.131 0.500
Hg 0.000 0.000 0.250
Hg 0.000 0.260 0.250
Hg 0.152 0.385 0.000

Calculated values
Its total magnetic moment is 0.00 μB/f.u. The calculation puts the calculated formation energy at -0.19 eV/atom. The crystal system is orthorhombic.



Entry 7:
Nd5SmSe6: optimized geometry, PBE-GGA.

Lattice parameters (Å, degrees): 7.311 12.698 7.297 90.00 109.65 90.00
Space group C2/m (No. 12)
Inequivalent atoms, fractional coordinates:
Nd 0.000 0.000 0.000
Nd 0.000 0.167 0.500
Nd 0.000 0.331 0.000
Sm 0.000 0.500 0.500
Se 0.247 0.500 0.251
Se 0.248 0.335 0.748

Calculated values
Its total magnetic moment is 0.00 μB/f.u. The crystal system is monoclinic. The value obtained for the uncorrected formation energy is -177 kJ/mol of atoms.



Entry 8:
Nd2Al4AgAu3: optimized geometry, PBE-GGA.

Lattice parameters (Å, degrees): 4.407 4.407 10.598 90.00 90.00 90.00
Space group P-4m2 (No. 115)
Inequivalent atoms, fractional coordinates:
Nd 0.000 0.500 0.250
Al 0.000 0.000 0.000
Al 0.000 0.500 0.634
Al 0.500 0.500 0.000
Ag 0.000 0.000 0.500
Au 0.000 0.500 0.870
Au 0.500 0.500 0.500

Calculated values
Its total magnetic moment is 0.00 μB/f.u. The calculation puts the calculated formation energy at -0.67 eV/atom. The crystal system is tetragonal.



Entry 9:
TbThSn2: optimized geometry, PBE-GGA.

Lattice parameters (Å, degrees): 4.469 4.501 11.641 90.00 90.00 90.00
Space group Amm2 (No. 38)
Inequivalent atoms, fractional coordinates:
Tb 0.000 0.000 0.000
Th 0.500 0.000 0.730
Sn 0.000 0.000 0.271
Sn 0.500 0.000 0.457

Calculated values
Its total magnetic moment is 0.00 μB/f.u. Its distance to the lowest polymorph of the same formula is 0.0000 eV per atom. The calculation puts the calculated formation energy at -0.63 eV/atom. The crystal system is orthorhombic.



Entry 10:
GdLuMgGa: optimized geometry, PBE-GGA.

Lattice parameters (Å, degrees): 7.276 7.276 7.276 90.00 90.00 90.00
Space group F-43m (No. 216)
Inequivalent atoms, fractional coordinates:
Gd 0.000 0.000 0.000
Lu 0.000 0.000 0.500
Mg 0.250 0.250 0.750
Ga 0.250 0.250 0.250

Calculated values
Its total magnetic moment is 7.28 μB/f.u. The calculation puts the calculated formation energy at -0.32 eV/atom. The crystal system is cubic.



Entry 11:
Ti2V3H8: optimized geometry, PBE-GGA.

Lattice parameters (Å, degrees): 9.186 5.297 4.361 90.00 112.64 90.00
Space group C2/m (No. 12)
Inequivalent atoms, fractional coordinates:
Ti 0.184 0.000 0.159
V 0.000 0.239 0.500
V 0.000 0.500 0.000
H 0.122 0.500 0.438
H 0.142 0.304 0.916
H 0.148 0.000 0.574

Calculated values
Its total magnetic moment is 0.00 μB/f.u. Its distance to the lowest polymorph of the same formula is 0.0000 eV per atom. The crystal system is monoclinic.



Entry 12:
Ce15AlPb4: optimized geometry, PBE-GGA.

Lattice parameters (Å, degrees): 4.816 4.816 24.077 90.00 90.00 90.00
Space group P4/mmm (No. 123)
Inequivalent atoms, fractional coordinates:
Ce 0.000 0.000 0.000
Ce 0.000 0.000 0.195
Ce 0.000 0.000 0.399
Ce 0.000 0.500 0.094
Ce 0.000 0.500 0.298
Ce 0.000 0.500 0.500
Al 0.500 0.500 0.000
Pb 0.500 0.500 0.196
Pb 0.500 0.500 0.399

Calculated values
Its total magnetic moment is 14.39 μB/f.u. The calculation puts the calculated formation energy at -0.24 eV/atom. The crystal system is tetragonal.



Entry 13:
ZrAuSe2Br: optimized geometry, PBE-GGA.

Lattice parameters (Å, degrees): 5.225 5.225 5.294 90.00 90.00 90.00
Space group P4/mmm (No. 123)
Inequivalent atoms, fractional coordinates:
Zr 0.000 0.000 0.000
Au 0.500 0.500 0.500
Se 0.000 0.500 0.000
Br 0.000 0.000 0.500

Calculated values
Its total magnetic moment is 0.00 μB/f.u. Its distance to the lowest polymorph of the same formula is 0.0000 eV per atom. The crystal system is tetragonal. The value obtained for the uncorrected formation energy is -25 kJ/mol of atoms.



Entry 14:
V4Se3S: optimized geometry, PBE-GGA.

Lattice parameters (Å, degrees): 6.776 6.565 6.423 90.00 90.00 90.00
Space group Pmn2_1 (No. 31)
Inequivalent atoms, fractional coordinates:
V 0.000 0.219 0.000
V 0.000 0.727 0.469
V 0.195 0.349 0.338
Se 0.000 0.862 0.827
Se 0.228 0.315 0.720
S 0.000 0.062 0.318

Calculated values
Its total magnetic moment is 1.39 μB/f.u. The crystal system is orthorhombic. The value obtained for the uncorrected formation energy is -38 kJ/mol of atoms.



Entry 15:
LaZnBi: optimized geometry, PBE-GGA.

Lattice parameters (Å, degrees): 4.6382 4.6382 4.6027 90.00 90.00 120.00
Space group P3m1 (No. 156)
Inequivalent atoms, fractional coordinates:
La 0.0000 0.0000 0.0000
Zn 0.3333 0.6667 0.6814
Bi 0.6667 0.3333 0.4584

Calculated values
Its total magnetic moment is 0.00 μB/f.u. The calculation puts the calculated formation energy at -0.61 eV/atom. The crystal system is trigonal.



Entry 16:
ScWAu4: optimized geometry, PBE-GGA.

Lattice parameters (Å, degrees): 7.709 7.709 7.709 90.00 90.00 90.00
Space group F-43m (No. 216)
Inequivalent atoms, fractional coordinates:
Sc 0.000 0.000 0.000
W 0.250 0.250 0.750
Au 0.125 0.125 0.375

Calculated values
Its total magnetic moment is 3.48 μB/f.u. The calculation puts the calculated formation energy at 0.32 eV/atom. The crystal system is cubic.



Entry 17:
La2Tb2Sm3: optimized geometry, PBE-GGA.

Lattice parameters (Å, degrees): 12.004 3.653 10.961 90.00 95.63 90.00
Space group C2/m (No. 12)
Inequivalent atoms, fractional coordinates:
La 0.215 0.000 0.355
Tb 0.070 0.000 0.789
Sm 0.000 0.500 0.500
Sm 0.142 0.500 0.069

Calculated values
Its total magnetic moment is 0.00 μB/f.u. Its distance to the lowest polymorph of the same formula is 0.0000 eV per atom. The calculation puts the calculated formation energy at 0.02 eV/atom. The crystal system is monoclinic.



Entry 18:
V2CoMoBr: optimized geometry, PBE-GGA.

Lattice parameters (Å, degrees): 4.671 4.671 4.487 90.00 90.00 90.00
Space group P4/mmm (No. 123)
Inequivalent atoms, fractional coordinates:
V 0.000 0.500 0.000
Co 0.000 0.000 0.500
Mo 0.000 0.000 0.000
Br 0.500 0.500 0.500

Calculated values
Its total magnetic moment is 0.00 μB/f.u. The crystal system is tetragonal. The value obtained for the uncorrected formation energy is 145 kJ/mol of atoms.



Entry 19:
Rb3RhW: optimized geometry, PBE-GGA.

Lattice parameters (Å, degrees): 6.156 6.156 6.156 90.00 90.00 90.00
Space group Pm-3m (No. 221)
Inequivalent atoms, fractional coordinates:
Rb 0.000 0.000 0.500
Rh 0.000 0.000 0.000
W 0.500 0.500 0.500

Calculated values
Its total magnetic moment is 5.65 μB/f.u. Its distance to the lowest polymorph of the same formula is 0.0000 eV per atom. The calculation puts the calculated formation energy at 1.75 eV/atom. The crystal system is cubic.



Entry 20:
SiIrRh2: optimized geometry, PBE-GGA.

Lattice parameters (Å, degrees): 2.843 2.843 6.851 90.00 90.00 90.00
Space group P4mm (No. 99)
Inequivalent atoms, fractional coordinates:
Si 0.000 0.000 0.000
Ir 0.500 0.500 0.215
Rh 0.000 0.000 0.501
Rh 0.500 0.500 0.792

Calculated values
Its total magnetic moment is 1.20 μB/f.u. The crystal system is tetragonal. The value obtained for the uncorrected formation energy is -31 kJ/mol of atoms.